Model A:
The following is a PBE calculation of a relaxed Pm8Mg crystal, from the Alexandria database.

The structure belongs to space group I4/mmm (No. 139); the cell edges are 10.808, 10.808 and 5.124 Å and the angles 90.00°, 90.00° and 90.00°. The inequivalent atoms are Pm at (0.000, 0.332, 0.000), Pm at (0.166, 0.166, 0.500) and Mg at (0.000, 0.000, 0.000).

Model B:
The following is a PBE calculation of a relaxed Pm8Mg crystal, from the Alexandria database.

The structure belongs to space group I4/mmm (No. 139); the cell edges are 12.597, 12.597 and 3.778 Å and the angles 90.00°, 90.00° and 90.00°. The inequivalent atoms are Pm at (0.000, 0.334, 0.000), Pm at (0.158, 0.158, 0.500) and Mg at (0.000, 0.000, 0.000).

Most favorable first, least favorable last: model A, model B